[1]
V2NiHBr | Alexandria via LeMat-Bulk | GGA-PBE | relaxed; size of the total moment = 5.5 μB/f.u.; total energy = -5.13 eV per atom; DOS at the Fermi energy = 1.171 states/eV per atom; calculated density = 5.450 g/cm³
1.0
4.761 0.000 0.000
0.000 4.761 0.000
0.000 0.000 3.246
V Ni H Br
2 1 1 1
Cartesian
0.000 2.381 0.000
2.381 0.000 0.000
0.000 0.000 0.000
0.000 0.000 1.623
2.381 2.381 1.623

[2]
YNiH2Br | Alexandria via LeMat-Bulk | GGA-PBE | relaxed; size of the total moment = 0.0 μB/f.u.; total energy = -4.21 eV per atom; DOS at the Fermi energy = 0.254 states/eV per atom; calculated density = 5.408 g/cm³
1.0
3.855 0.000 0.000
0.000 3.855 0.000
0.000 0.000 4.742
Y Ni H Br
1 1 2 1
Cartesian
0.000 0.000 0.000
1.928 1.928 2.371
0.000 1.928 2.371
1.928 0.000 2.371
1.928 1.928 0.000

[3]
NpH6Br12 | Alexandria via LeMat-Bulk | GGA-PBE | relaxed; size of the total moment = 1.0 μB/f.u.; total energy = -3.29 eV per atom; calculated density = 2.770 g/cm³
1.0
6.396 3.693 5.085
-6.396 3.693 5.085
0.000 -7.386 5.085
Np H Br
1 6 12
Cartesian
0.000 0.000 0.000
-1.328 0.634 5.659
0.115 -1.467 5.659
-1.213 -0.833 9.595
1.213 0.833 5.659
-0.115 1.467 9.595
1.328 -0.634 9.595
-4.258 -3.849 8.650
-5.462 1.763 6.604
-1.315 -1.767 5.685
1.204 -5.612 6.604
-0.872 2.022 5.685
-2.188 0.256 9.570
2.188 -0.256 5.685
0.872 -2.022 9.570
-1.204 5.612 8.650
1.315 1.767 9.570
5.462 -1.763 8.650
4.258 3.849 6.604